Material: SrLi2Au2
Method: DFT, PBE
State: optimized geometry

Formation energy from the elements ... -0.5938 eV/atom
Magnetic moment ... 0.00 μB/f.u.
Space group ... I4/mmm (139)
Energy ... -3.01 eV/atom
Calculated density ... 7.341 g/cm³
DOS at the Fermi energy ... 2.614 states/eV per cell

a = 4.2387 Å, b = 4.2387 Å, c = 6.9205 Å
α = 72.17°, β = 72.17°, γ = 90.00°
Element x y z (fractional)
Au (0.3853, 0.3853, 0.2295)
Au (0.6147, 0.6147, 0.7705)
Li (0.2500, 0.7500, 0.5000)
Li (0.7500, 0.2500, 0.5000)
Sr (0.0000, 0.0000, 0.0000)

Material: AcThNiOs
Method: DFT, PBE
State: optimized geometry

Formation energy from the elements ... -0.0419 eV/atom
Magnetic moment ... 0.00 μB/f.u.
Space group ... F-43m (216)
Energy ... -7.18 eV/atom
Calculated density ... 12.536 g/cm³
DOS at the Fermi energy ... 2.935 states/eV per cell

a = 5.0996 Å, b = 5.0996 Å, c = 5.0996 Å
α = 60.00°, β = 60.00°, γ = 60.00°
Element x y z (fractional)
Os (0.7500, 0.7500, 0.7500)
Th (0.0000, 0.0000, 0.0000)
Ac (0.5000, 0.5000, 0.5000)
Ni (0.2500, 0.2500, 0.2500)

Material: Pr6DyHo
Method: DFT, PBE
State: optimized geometry

Formation energy from the elements ... 0.0171 eV/atom
Magnetic moment ... 0.00 μB/f.u.
Space group ... Fmmm (69)
Energy ... -4.72 eV/atom
Calculated density ... 6.955 g/cm³
DOS at the Fermi energy ... 12.781 states/eV per cell

a = 6.3451 Å, b = 6.3451 Å, c = 8.2217 Å
α = 105.19°, β = 105.20°, γ = 108.71°
Element x y z (fractional)
Pr (0.1228, 0.6227, 0.2455)
Pr (0.2498, 0.2499, 0.4997)
Pr (0.6227, 0.1228, 0.2455)
Pr (0.7502, 0.7501, 0.5003)
Pr (0.8772, 0.3773, 0.7545)
Pr (0.3773, 0.8772, 0.7545)
Dy (0.5000, 0.5000, 0.0000)
Ho (0.0000, 0.0000, 0.0000)